DFT (PBE) results for Li2ReBr after structural relaxation.

Computed properties:
E, eV/atom: -4.05
Raw formation energy, eV/atom: 0.44
Symmetry: Cmmm (65)
Energy above the most stable polymorph in this dataset, kJ per mole of atoms: 32.37

a = 5.1949 Å, b = 8.7105 Å, c = 2.8252 Å
α = 90.00°, β = 90.00°, γ = 90.00°
Closest atoms and distances in Å follow each position.
Fractional positions:
Li: 0.2500 0.2500 0.0000  4 Li 2.60-2.83, 4 Br 2.90, 4 Re 2.90
Li: 0.2500 0.7500 0.0000  4 Li 2.60-2.83, 4 Br 2.90, 4 Re 2.90
Li: 0.7500 0.2500 0.0000  4 Li 2.60-2.83, 4 Re 2.90, 4 Br 2.90
Li: 0.7500 0.7500 0.0000  4 Li 2.60-2.83, 4 Re 2.90, 4 Br 2.90
Re: 0.0000 0.0000 0.5000  2 Br 2.60, 2 Re 2.83, 8 Li 2.90
Re: 0.5000 0.5000 0.5000  2 Br 2.60, 2 Re 2.83, 8 Li 2.90
Br: 0.0000 0.5000 0.5000  2 Re 2.60, 2 Br 2.83, 8 Li 2.90
Br: 0.5000 0.0000 0.5000  2 Re 2.60, 2 Br 2.83, 8 Li 2.90